## one
A relaxed PmCdBi crystal, computed with GGA-PBE.

## Properties
* N(E_F): 0.38 states/eV/f.u.

Cell: 4.8373 4.8373 4.4015 Å, 90.00 90.00 120.00°
Space group P3m1 (No. 156)
One atom of each set of equivalent atoms:
Pm1 0.0000 0.0000 0.0000 [1 per cell]
Cd1 0.3333 0.6667 0.6783 [1 per cell]
Bi1 0.6667 0.3333 0.4156 [1 per cell]

## two
A relaxed PmCdBi crystal, computed with GGA-PBE.

## Properties
* N(E_F): 1.51 states/eV/f.u.

Cell: 3.410 3.410 17.225 Å, 90.00 90.00 90.00°
Space group I4mm (No. 107)
One atom of each set of equivalent atoms:
Pm1 0.000 0.000 0.000 [2 per cell]
Cd1 0.000 0.000 0.183 [2 per cell]
Bi1 0.000 0.000 0.363 [2 per cell]

Relative energy table, unit meV per atom: one 0; two 338

## one
A relaxed PrCdBi crystal, computed with GGA-PBE.

## Properties
* N(E_F): 1.72 states/eV/f.u.

Cell: 4.361 4.361 9.705 Å, 90.00 90.00 90.00°
Space group I4mm (No. 107)
One atom of each set of equivalent atoms:
Pr1 0.000 0.000 0.000 [2 per cell]
Cd1 0.000 0.000 0.330 [2 per cell]
Bi1 0.000 0.000 0.656 [2 per cell]

## two
A relaxed PrCdBi crystal, computed with GGA-PBE.

## Properties
* N(E_F): 2.80 states/eV/f.u.

Cell: 5.0888 5.0888 25.9287 Å, 90.00 90.00 120.00°
Space group R-3m (No. 166, hexagonal axes)
One atom of each set of equivalent atoms:
Pr1 0.0000 0.0000 0.0730 [6 per cell]
Cd1 0.0000 0.0000 0.3340 [6 per cell]
Bi1 0.0000 0.0000 0.2040 [6 per cell]

Relative energy table, unit meV per atom: one 0; two 36

## one
A relaxed CdBi3Pt crystal, computed with GGA-PBE.

## Properties
* N(E_F): 2.33 states/eV/f.u.

Cell: 11.148 9.062 7.077 Å, 90.00 128.44 90.00°
Space group C2/m (No. 12)
One atom of each set of equivalent atoms:
Cd1 0.057 0.000 0.249 [4 per cell]
Bi1 0.074 0.500 0.334 [4 per cell]
Bi2 0.199 0.195 0.734 [8 per cell]
Pt1 0.244 0.500 0.873 [4 per cell]

## two
A relaxed CdBi3Pt crystal, computed with GGA-PBE.

## Properties
* N(E_F): 5.72 states/eV/f.u.

Cell: 5.479 5.479 5.479 Å, 90.00 90.00 90.00°
Space group Pm-3m (No. 221)
One atom of each set of equivalent atoms:
Cd1 0.000 0.000 0.000 [1 per cell]
Bi1 0.000 0.500 0.500 [3 per cell]
Pt1 0.500 0.500 0.500 [1 per cell]

Relative energy table, unit meV per atom: one 0; two 443

## one
A relaxed CdBi2Pt2 crystal, computed with GGA-PBE.

## Properties
* N(E_F): 1.29 states/eV/f.u.

Cell: 5.533 5.533 8.075 Å, 90.00 90.00 90.00°
Space group I4/mmm (No. 139)
One atom of each set of equivalent atoms:
Cd1 0.000 0.000 0.000 [2 per cell]
Bi1 0.000 0.500 0.250 [4 per cell]
Pt1 0.000 0.000 0.341 [4 per cell]

## two
A relaxed CdBi2Pt2 crystal, computed with GGA-PBE.

## Properties
* N(E_F): 2.05 states/eV/f.u.

Cell: 8.361 8.361 3.357 Å, 90.00 90.00 90.00°
Space group P4/mbm (No. 127)
One atom of each set of equivalent atoms:
Cd1 0.000 0.000 0.000 [2 per cell]
Bi1 0.163 0.337 0.000 [4 per cell]
Pt1 0.126 0.626 0.500 [4 per cell]

## three
A relaxed CdBi2Pt2 crystal, computed with GGA-PBE.

## Properties
* N(E_F): 2.71 states/eV/f.u.

Cell: 7.455 7.455 4.076 Å, 90.00 90.00 90.00°
Space group P4/mbm (No. 127)
One atom of each set of equivalent atoms:
Cd1 0.000 0.000 0.000 [2 per cell]
Bi1 0.163 0.337 0.500 [4 per cell]
Pt1 0.138 0.638 0.000 [4 per cell]

Relative energy table, unit meV per atom: one 96; two 207; three 0

## one
A relaxed Cd2BiPt2 crystal, computed with GGA-PBE.

## Properties
* N(E_F): 2.76 states/eV/f.u.

Cell: 4.033 4.033 13.489 Å, 90.00 90.00 90.00°
Space group I4/mmm (No. 139)
One atom of each set of equivalent atoms:
Cd1 0.000 0.000 0.110 [4 per cell]
Bi1 0.000 0.000 0.500 [2 per cell]
Pt1 0.000 0.500 0.250 [4 per cell]

## two
A relaxed Cd2BiPt2 crystal, computed with GGA-PBE.

## Properties
* N(E_F): 2.11 states/eV/f.u.

Cell: 8.127 8.127 3.090 Å, 90.00 90.00 90.00°
Space group P4/mbm (No. 127)
One atom of each set of equivalent atoms:
Cd1 0.133 0.367 0.000 [4 per cell]
Bi1 0.000 0.000 0.500 [2 per cell]
Pt1 0.164 0.664 0.500 [4 per cell]

## three
A relaxed Cd2BiPt2 crystal, computed with GGA-PBE.

## Properties
* N(E_F): 2.33 states/eV/f.u.

Cell: 3.971 3.971 13.491 Å, 90.00 90.00 90.00°
Space group I4/mmm (No. 139)
One atom of each set of equivalent atoms:
Cd1 0.000 0.500 0.250 [4 per cell]
Bi1 0.000 0.000 0.000 [2 per cell]
Pt1 0.000 0.000 0.400 [4 per cell]

Relative energy table, unit meV per atom: one 283; two 0; three 74

## one
A relaxed RbCd3Bi crystal, computed with GGA-PBE.

## Properties
* N(E_F): 4.03 states/eV/f.u.

Cell: 6.026 6.026 6.026 Å, 90.00 90.00 90.00°
Space group Pm-3m (No. 221)
One atom of each set of equivalent atoms:
Rb1 0.000 0.000 0.000 [1 per cell]
Cd1 0.000 0.500 0.500 [3 per cell]
Bi1 0.500 0.500 0.500 [1 per cell]

## two
A relaxed RbCd3Bi crystal, computed with GGA-PBE.

## Properties
* N(E_F): 5.32 states/eV/f.u.

Cell: 6.579 6.579 6.579 Å, 90.00 90.00 90.00°
Space group Pm-3m (No. 221)
One atom of each set of equivalent atoms:
Rb1 0.000 0.000 0.000 [1 per cell]
Cd1 0.000 0.000 0.500 [3 per cell]
Bi1 0.500 0.500 0.500 [1 per cell]

Relative energy table, unit meV per atom: one 0; two 617

## one
A relaxed Rb2Cd3Bi2 crystal, computed with GGA-PBE.

## Properties
* N(E_F): 2.81 states/eV/f.u.

Cell: 13.185 5.178 7.914 Å, 90.00 116.38 90.00°
Space group C2/m (No. 12)
One atom of each set of equivalent atoms:
Rb1 0.154 0.000 0.288 [4 per cell]
Cd1 0.000 0.500 0.500 [2 per cell]
Cd2 0.088 0.500 0.935 [4 per cell]
Bi1 0.152 0.000 0.784 [4 per cell]

## two
A relaxed Rb2Cd3Bi2 crystal, computed with GGA-PBE.

## Properties
* N(E_F): 3.04 states/eV/f.u.

Cell: 14.356 4.591 8.524 Å, 90.00 100.35 90.00°
Space group C2/m (No. 12)
One atom of each set of equivalent atoms:
Rb1 0.165 0.000 0.238 [4 per cell]
Cd1 0.000 0.500 0.500 [2 per cell]
Cd2 0.061 0.500 0.887 [4 per cell]
Bi1 0.116 0.000 0.693 [4 per cell]

Relative energy table, unit meV per atom: one 0; two 36

## one
A relaxed Rb2Cd2Bi crystal, computed with GGA-PBE.

## Properties
* N(E_F): 3.81 states/eV/f.u.

Cell: 10.619 10.619 3.587 Å, 90.00 90.00 90.00°
Space group P4/mbm (No. 127)
One atom of each set of equivalent atoms:
Rb1 0.190 0.310 0.000 [4 per cell]
Cd1 0.103 0.603 0.500 [4 per cell]
Bi1 0.000 0.000 0.000 [2 per cell]

## two
A relaxed Rb2Cd2Bi crystal, computed with GGA-PBE.

## Properties
* N(E_F): 2.29 states/eV/f.u.

Cell: 4.125 4.125 24.139 Å, 90.00 90.00 90.00°
Space group I4/mmm (No. 139)
One atom of each set of equivalent atoms:
Rb1 0.000 0.000 0.101 [4 per cell]
Cd1 0.000 0.500 0.250 [4 per cell]
Bi1 0.000 0.000 0.500 [2 per cell]

## three
A relaxed Rb2Cd2Bi crystal, computed with GGA-PBE.

## Properties
* N(E_F): 3.85 states/eV/f.u.

Cell: 5.589 5.589 13.797 Å, 90.00 90.00 90.00°
Space group I4/mmm (No. 139)
One atom of each set of equivalent atoms:
Rb1 0.000 0.500 0.250 [4 per cell]
Cd1 0.000 0.000 0.098 [4 per cell]
Bi1 0.000 0.000 0.500 [2 per cell]

Relative energy table, unit meV per atom: one 184; two 0; three 278

## one
A relaxed Rb2CdBi crystal, computed with GGA-PBE.

## Properties
* N(E_F): 3.11 states/eV/f.u.

Cell: 6.583 6.583 3.949 Å, 90.00 90.00 90.00°
Space group P4/mmm (No. 123)
One atom of each set of equivalent atoms:
Rb1 0.000 0.500 0.000 [2 per cell]
Cd1 0.000 0.000 0.500 [1 per cell]
Bi1 0.500 0.500 0.500 [1 per cell]

## two
A relaxed Rb2CdBi crystal, computed with GGA-PBE.

## Properties
* N(E_F): 2.76 states/eV/f.u.

Cell: 11.454 9.435 6.543 Å, 90.00 90.00 90.00°
Space group Cmcm (No. 63)
One atom of each set of equivalent atoms:
Rb1 0.174 0.148 0.250 [8 per cell]
Cd1 0.000 0.500 0.000 [4 per cell]
Bi1 0.000 0.228 0.750 [4 per cell]

## three
A relaxed Rb2CdBi crystal, computed with GGA-PBE.

## Properties
* N(E_F): 4.98 states/eV/f.u.

Cell: 8.834 8.834 8.834 Å, 90.00 90.00 90.00°
Space group Fm-3m (No. 225)
One atom of each set of equivalent atoms:
Rb1 0.250 0.250 0.250 [8 per cell]
Cd1 0.000 0.000 0.000 [4 per cell]
Bi1 0.000 0.000 0.500 [4 per cell]

## four
A relaxed Rb2CdBi crystal, computed with GGA-PBE.

## Properties
* N(E_F): 1.57 states/eV/f.u.

Cell: 5.355 5.355 24.706 Å, 90.00 90.00 90.00°
Space group I-42d (No. 122)
One atom of each set of equivalent atoms:
Rb1 0.242 0.250 0.125 [8 per cell]
Cd1 0.000 0.000 0.000 [4 per cell]
Bi1 0.000 0.000 0.500 [4 per cell]

Relative energy table, unit meV per atom: one 116; two 0; three 134; four 330

## one
A relaxed RbZnCd2Bi crystal, computed with GGA-PBE.

## Properties
* N(E_F): 4.97 states/eV/f.u.

Cell: 6.607 6.607 6.316 Å, 90.00 90.00 90.00°
Space group P4/mmm (No. 123)
One atom of each set of equivalent atoms:
Rb1 0.000 0.000 0.000 [1 per cell]
Zn1 0.000 0.000 0.500 [1 per cell]
Cd1 0.000 0.500 0.000 [2 per cell]
Bi1 0.500 0.500 0.500 [1 per cell]

## two
A relaxed RbZnCd2Bi crystal, computed with GGA-PBE.

## Properties
* N(E_F): 2.06 states/eV/f.u.

Cell: 5.392 5.392 5.625 Å, 90.00 90.00 90.00°
Space group P4/mmm (No. 123)
One atom of each set of equivalent atoms:
Rb1 0.000 0.000 0.000 [1 per cell]
Zn1 0.500 0.500 0.500 [1 per cell]
Cd1 0.000 0.500 0.500 [2 per cell]
Bi1 0.500 0.500 0.000 [1 per cell]

Relative energy table, unit meV per atom: one 777; two 0

## one
A relaxed CdBi3Rh crystal, computed with GGA-PBE.

## Properties
* N(E_F): 2.62 states/eV/f.u.

Cell: 3.372 10.849 7.592 Å, 90.00 102.67 90.00°
Space group P2_1/m (No. 11)
One atom of each set of equivalent atoms:
Cd1 0.033 0.250 0.057 [2 per cell]
Bi1 0.111 0.533 0.230 [4 per cell]
Bi2 0.275 0.750 0.562 [2 per cell]
Rh1 0.378 0.250 0.747 [2 per cell]

## two
A relaxed CdBi3Rh crystal, computed with GGA-PBE.

## Properties
* N(E_F): 2.57 states/eV/f.u.

Cell: 11.058 8.920 6.990 Å, 90.00 128.37 90.00°
Space group C2/m (No. 12)
One atom of each set of equivalent atoms:
Cd1 0.055 0.000 0.247 [4 per cell]
Bi1 0.070 0.500 0.338 [4 per cell]
Bi2 0.206 0.196 0.743 [8 per cell]
Rh1 0.241 0.500 0.870 [4 per cell]

Relative energy table, unit meV per atom: one 57; two 0